# 1
Entry from the Alexandria database: a geometry-optimized Pm3TlIr2 structure (PBE).

The space group is Ibam (No. 72) and the conventional cell measures 6.872, 13.389 and 7.216 Å, with angles of 90.00, 90.00 and 90.00 degrees. The inequivalent atoms are Pm at (0.000, 0.000, 0.250), Pm at (0.000, 0.278, 0.250), Tl at (0.000, 0.500, 0.000) and Ir at (0.203, 0.139, 0.000).

Its formation energy is -299 kJ/mol of formula units. For the energy above the most stable polymorph in this dataset, the calculation gives 0.15 eV/f.u. For the spin magnetization, the calculation gives 0.000 μB per formula unit.

***

# 2
Entry from the Alexandria database: a geometry-optimized ZrInI6 structure (PBE).

The space group is R-3 (No. 148, hexagonal axes) and the conventional cell measures 7.5136, 7.5136 and 20.2297 Å, with angles of 90.00, 90.00 and 120.00 degrees. The inequivalent atoms are Zr at (0.0000, 0.0000, 0.0000), In at (0.0000, 0.0000, 0.5000) and I at (0.0096, 0.6892, 0.9190).

For the energy above the most stable polymorph in this dataset, the calculation gives 0.22 eV/f.u. The value obtained for the uncorrected formation energy is -0.668 eV per atom. For the spin magnetization, the calculation gives 0.000 μB per formula unit.

***

# 3
Entry from the Alexandria database: a geometry-optimized SrFe2Ni structure (PBE).

The space group is Cm (No. 8) and the conventional cell measures 7.108, 4.104 and 5.896 Å, with angles of 90.00, 113.54 and 90.00 degrees. The inequivalent atoms are Sr at (0.000, 0.000, 0.000), Fe at (0.192, 0.000, 0.575), Fe at (0.488, 0.000, 0.462) and Ni at (0.313, 0.500, 0.439).

Its formation energy is 86 kJ/mol of formula units. For the spin magnetization, the calculation gives 5.375 μB per formula unit.

***

# 4
Entry from the Alexandria database: a geometry-optimized Nd8Sn2Sb structure (PBE).

The space group is C2/m (No. 12) and the conventional cell measures 20.209, 5.107 and 7.204 Å, with angles of 90.00, 101.91 and 90.00 degrees. The inequivalent atoms are Nd at (0.024, 0.000, 0.263), Nd at (0.095, 0.500, 0.979), Nd at (0.160, 0.500, 0.512), Nd at (0.216, 0.000, 0.837), Sn at (0.183, 0.000, 0.263) and Sb at (0.000, 0.500, 0.500).

The value obtained for the uncorrected formation energy is -0.454 eV per atom. For the spin magnetization, the calculation gives 0.001 μB per formula unit.

***

# 5
Entry from the Alexandria database: a geometry-optimized Sr2LiCd2Pd5 structure (PBE).

The space group is P4/mbm (No. 127) and the conventional cell measures 10.532, 10.532 and 3.755 Å, with angles of 90.00, 90.00 and 90.00 degrees. The inequivalent atoms are Sr at (0.172, 0.328, 0.000), Li at (0.000, 0.000, 0.000), Cd at (0.130, 0.630, 0.000), Pd at (0.000, 0.500, 0.500) and Pd at (0.056, 0.813, 0.500).

Its formation energy is -368 kJ/mol of formula units. For the spin magnetization, the calculation gives 0.000 μB per formula unit.

***

# 6
Entry from the Alexandria database: a geometry-optimized GdLuMgOs structure (PBE).

The space group is F-43m (No. 216) and the conventional cell measures 7.023, 7.023 and 7.023 Å, with angles of 90.00, 90.00 and 90.00 degrees. The inequivalent atoms are Gd at (0.000, 0.000, 0.000), Lu at (0.000, 0.000, 0.500), Mg at (0.250, 0.250, 0.750) and Os at (0.250, 0.250, 0.250).

Its formation energy is -59 kJ/mol of formula units. For the spin magnetization, the calculation gives 7.158 μB per formula unit.

***

# 7
Entry from the Alexandria database: a geometry-optimized ErPuHgRu structure (PBE).

The space group is F-43m (No. 216) and the conventional cell measures 7.102, 7.102 and 7.102 Å, with angles of 90.00, 90.00 and 90.00 degrees. The inequivalent atoms are Er at (0.000, 0.000, 0.000), Pu at (0.000, 0.000, 0.500), Hg at (0.250, 0.250, 0.250) and Ru at (0.250, 0.250, 0.750).

Its formation energy is -54 kJ/mol of formula units. For the energy above the most stable polymorph in this dataset, the calculation gives 0.69 eV/f.u. For the spin magnetization, the calculation gives 5.344 μB per formula unit.

***

# 8
Entry from the Alexandria database: a geometry-optimized Cd2ReW structure (PBE).

The space group is Cm (No. 8) and the conventional cell measures 9.440, 2.776 and 5.432 Å, with angles of 90.00, 95.67 and 90.00 degrees. The inequivalent atoms are Cd at (0.000, 0.000, 0.000), Cd at (0.247, 0.000, 0.775), Re at (0.002, 0.500, 0.480) and W at (0.248, 0.500, 0.295).

Its formation energy is 234 kJ/mol of formula units. For the energy above the most stable polymorph in this dataset, the calculation gives 0.95 eV/f.u. For the spin magnetization, the calculation gives 0.000 μB per formula unit.

***

> The highest spin magnetization belongs to which entry?

GdLuMgOs